# La2Mn2Pt | the Alexandria database | PBE | optimized geometry
# formation energy: -92 meV/atom
data_La2Mn2Pt
_chemical_formula_sum 'La4 Mn4 Pt2'
_symmetry_space_group_name_H-M 'P 4/m b m'
_symmetry_Int_Tables_number 127
_symmetry_space_group_name_Hall '-P 4 2ab'
_cell_length_a 6.792
_cell_length_b 6.792
_cell_length_c 4.509
_cell_angle_alpha 90.00
_cell_angle_beta 90.00
_cell_angle_gamma 90.00
loop_
_atom_site_label
_atom_site_type_symbol
_atom_site_fract_x
_atom_site_fract_y
_atom_site_fract_z
La1 La 0.187 0.313 0.000
Mn1 Mn 0.109 0.609 0.500
Pt1 Pt 0.000 0.000 0.500